[1]
Crystalline ZnCrSn at its relaxed geometry, computed with PBE.

Computed properties:
- calculated total energy (eV for the cell shown) = -57.00
- size of the total moment (Bohr magnetons per cell) = 0.4
- crystal system = orthorhombic
- calculated volume (Å³/atom) = 18.6
- E_form (eV/atom) = 0.217
- density (Mg/m³) = 7.0

abc: 4.4224 2.9981 16.8556
angles: 90.00 90.00 90.00
Site moments in Bohr magnetons follow the coordinates.
Sites, in units of the cell vectors:
Cr  0.0000  0.0000  0.5430  -2.04
Cr  0.5000  0.5000  0.0430  -2.04
Cr  0.0000  0.5000  0.6536  2.25
Cr  0.5000  0.0000  0.1536  2.25
Zn  0.0000  0.5000  0.1773  -0.03
Zn  0.5000  0.0000  0.6773  -0.03
Zn  0.0000  0.5000  0.4014  0.01
Zn  0.5000  0.0000  0.9014  0.01
Sn  0.0000  0.0000  0.7976  -0.04
Sn  0.5000  0.5000  0.2976  -0.04
Sn  0.0000  0.0000  0.0194  0.07
Sn  0.5000  0.5000  0.5194  0.07

[2]
Crystalline Pm2As2BrO6 at its relaxed geometry, computed with PBE.

Computed properties:
- raw formation energy (eV/atom) = -1.973
- calculated total energy (eV for the cell shown) = -71.92
- size of the total moment (Bohr magnetons per cell) = 0.0
- crystal system = triclinic
- calculated volume (Å³/atom) = 19.4
- density (Mg/m³) = 4.8

abc: 5.9319 6.9172 7.0336
angles: 123.37 99.35 63.24
Sites, in units of the cell vectors:
Pm  0.7944  0.3354  0.7792
Pm  0.2056  0.6646  0.2208
As  0.0842  0.7779  0.8205
As  0.9158  0.2221  0.1795
Br  0.5000  0.0000  0.5000
O  0.3883  0.6556  0.9000
O  0.0295  0.3882  0.1145
O  0.1121  0.8279  0.6032
O  0.9705  0.6118  0.8855
O  0.8879  0.1721  0.3968
O  0.6117  0.3444  0.1000

[3]
Crystalline YHf2ZrV at its relaxed geometry, computed with PBE.

Computed properties:
- calculated total energy (eV for the cell shown) = -39.08
- size of the total moment (Bohr magnetons per cell) = 2.3
- crystal system = tetragonal
- calculated volume (Å³/atom) = 25.8
- E_form (eV/atom) = 0.992
- density (Mg/m³) = 7.6

abc: 5.2071 4.7643 5.2071
angles: 90.00 90.00 90.00
Site moments in Bohr magnetons follow the coordinates.
Sites, in units of the cell vectors:
Y  0.5000  0.5000  0.5000  0.06
Hf  0.0000  0.0000  0.5000  0.03
Hf  0.5000  0.0000  0.0000  0.11
Zr  0.0000  0.0000  0.0000  -0.02
V  0.0000  0.5000  0.0000  1.57

[4]
Crystalline Mg3Ir4 at its relaxed geometry, computed with PBE.

Computed properties:
- calculated total energy (eV for the cell shown) = -38.09
- size of the total moment (Bohr magnetons per cell) = 0.0
- crystal system = hexagonal
- calculated volume (Å³/atom) = 15.6
- E_form (eV/atom) = 0.305
- density (Mg/m³) = 12.8

abc: 5.0756 5.0756 4.8824
angles: 90.00 90.00 120.00
Sites, in units of the cell vectors:
Mg  0.0000  0.5000  0.0000
Mg  0.5000  0.5000  0.0000
Mg  0.5000  0.0000  0.0000
Ir  0.0000  0.0000  0.2547
Ir  0.0000  0.0000  0.7453
Ir  0.6667  0.3333  0.5000
Ir  0.3333  0.6667  0.5000

[5]
Crystalline NaMgS2 at its relaxed geometry, computed with PBE.

Computed properties:
- raw formation energy (eV/atom) = -0.911
- calculated total energy (eV for the cell shown) = -14.81
- size of the total moment (Bohr magnetons per cell) = 0.0
- crystal system = trigonal
- calculated volume (Å³/atom) = 20.2
- density (Mg/m³) = 2.3

abc: 3.9072 3.9072 6.5079
angles: 72.53 72.53 60.00
Sites, in units of the cell vectors:
Na  0.4964  0.4964  0.5107
Mg  0.6690  0.6690  0.9931
S  0.0730  0.0730  0.7811
S  0.2616  0.2616  0.2152

[6]
Crystalline Pa5Cu2Ge5 at its relaxed geometry, computed with PBE.

Computed properties:
- calculated total energy (eV for the cell shown) = -83.14
- size of the total moment (Bohr magnetons per cell) = 2.1
- crystal system = monoclinic
- calculated volume (Å³/atom) = 21.0
- E_form (eV/atom) = -0.365
- density (Mg/m³) = 10.8

abc: 4.0816 7.5866 8.7102
angles: 90.36 76.45 74.40
Site moments in Bohr magnetons follow the coordinates.
Sites, in units of the cell vectors:
Pa  0.5000  0.5000  0.5000  0.12
Pa  0.4084  0.2824  0.9008  0.41
Pa  0.3293  0.0387  0.3027  0.49
Pa  0.6707  0.9613  0.6973  0.49
Pa  0.5916  0.7176  0.0992  0.41
Cu  0.8483  0.5329  0.7706  0.00
Cu  0.1517  0.4671  0.2294  0.00
Ge  0.9275  0.7631  0.3818  -0.01
Ge  0.2420  0.6920  0.8240  -0.01
Ge  0.7580  0.3080  0.1760  -0.01
Ge  0.0725  0.2369  0.6182  -0.01
Ge  0.0000  0.0000  0.0000  -0.01

[7]
Crystalline LaTbPb at its relaxed geometry, computed with PBE.

Computed properties:
- calculated total energy (eV for the cell shown) = -29.22
- size of the total moment (Bohr magnetons per cell) = 0.0
- crystal system = monoclinic
- calculated volume (Å³/atom) = 31.4
- E_form (eV/atom) = -0.448
- density (Mg/m³) = 8.9

abc: 4.5122 4.9637 8.7193
angles: 90.00 105.10 90.00
Sites, in units of the cell vectors:
La  0.9286  0.2500  0.8548
La  0.0714  0.7500  0.1452
Tb  0.2539  0.2500  0.5075
Tb  0.7461  0.7500  0.4925
Pb  0.6083  0.2500  0.2176
Pb  0.3917  0.7500  0.7824

[8]
Crystalline BeVSn3 at its relaxed geometry, computed with PBE.

Computed properties:
- calculated total energy (eV for the cell shown) = -21.25
- size of the total moment (Bohr magnetons per cell) = 0.7
- crystal system = cubic
- calculated volume (Å³/atom) = 27.2
- E_form (eV/atom) = 0.721
- density (Mg/m³) = 5.1

abc: 5.1421 5.1421 5.1421
angles: 90.00 90.00 90.00
Site moments in Bohr magnetons follow the coordinates.
Sites, in units of the cell vectors:
Be  0.5000  0.5000  0.5000  0.01
Sn  0.0000  0.5000  0.0000  -0.01
Sn  0.0000  0.0000  0.5000  -0.01
Sn  0.5000  0.0000  0.0000  -0.01
V  0.0000  0.0000  0.0000  0.69

[9]
Crystalline YBiRhAu at its relaxed geometry, computed with PBE.

Computed properties:
- calculated total energy (eV for the cell shown) = -22.94
- size of the total moment (Bohr magnetons per cell) = 0.0
- crystal system = cubic
- calculated volume (Å³/atom) = 21.6
- E_form (eV/atom) = -0.491
- density (Mg/m³) = 11.5

abc: 4.9606 4.9606 4.9606
angles: 60.00 60.00 60.00
Sites, in units of the cell vectors:
Y  0.7500  0.7500  0.7500
Rh  0.0000  0.0000  0.0000
Au  0.5000  0.5000  0.5000
Bi  0.2500  0.2500  0.2500

[10]
Crystalline LiHgSe2 at its relaxed geometry, computed with PBE.

Computed properties:
- raw formation energy (eV/atom) = -0.366
- calculated total energy (eV for the cell shown) = -10.65
- size of the total moment (Bohr magnetons per cell) = 0.0
- crystal system = tetragonal
- calculated volume (Å³/atom) = 21.8
- density (Mg/m³) = 6.9

abc: 3.9793 3.9793 5.5184
angles: 90.00 90.00 90.00
Sites, in units of the cell vectors:
Hg  0.0000  0.0000  0.3745
Li  0.5000  0.5000  0.8755
Se  0.0000  0.0000  0.8747
Se  0.5000  0.5000  0.3754

[11]
Crystalline RbPa2TcN5 at its relaxed geometry, computed with PBE.

Computed properties:
- raw formation energy (eV/atom) = -0.812
- calculated total energy (eV for the cell shown) = -158.51
- size of the total moment (Bohr magnetons per cell) = 0.0
- crystal system = tetragonal
- calculated volume (Å³/atom) = 14.7
- density (Mg/m³) = 9.0

abc: 6.7834 6.7834 7.4945
angles: 116.91 116.91 90.00
Sites, in units of the cell vectors:
Rb  0.2500  0.2500  0.5000
Rb  0.7500  0.7500  0.5000
Pa  0.1878  0.3122  0.0000
Pa  0.6878  0.1878  0.0000
Pa  0.3122  0.8122  0.0000
Pa  0.8122  0.6878  0.0000
Tc  0.2500  0.7500  0.5000
Tc  0.7500  0.2500  0.5000
N  0.9912  0.4912  0.2559
N  0.7353  0.2353  0.7441
N  0.0088  0.5088  0.7441
N  0.2353  0.0088  0.7441
N  0.5088  0.7353  0.7441
N  0.7647  0.9912  0.2559
N  0.4912  0.2647  0.2559
N  0.2647  0.7647  0.2559
N  0.5000  0.5000  0.0000
N  0.0000  0.0000  0.0000

[12]
Crystalline Pm3BeGe6Pd2 at its relaxed geometry, computed with PBE.

Computed properties:
- calculated total energy (eV for the cell shown) = -60.55
- size of the total moment (Bohr magnetons per cell) = 0.0
- crystal system = trigonal
- calculated volume (Å³/atom) = 20.6
- E_form (eV/atom) = -0.374
- density (Mg/m³) = 7.4

abc: 5.8534 5.8534 8.3155
angles: 90.00 90.00 120.00
Sites, in units of the cell vectors:
Pm  0.3333  0.6667  0.6186
Pm  0.6667  0.3333  0.3814
Pm  0.0000  0.0000  0.0000
Be  0.0000  0.0000  0.5000
Ge  0.6379  0.8190  0.2882
Ge  0.1810  0.3621  0.2882
Ge  0.1810  0.8190  0.2882
Ge  0.8190  0.6379  0.7118
Ge  0.3621  0.1810  0.7118
Ge  0.8190  0.1810  0.7118
Pd  0.6667  0.3333  0.9666
Pd  0.3333  0.6667  0.0334